Entry 1:
Compound: Zn5Rh3
Source: the Alexandria database
Functional: PBE
Structure: relaxed

Cell lengths 6.159, 6.071, 6.698 Å; angles 90.00, 117.26, 90.00 degrees
Space group C2/m (No. 12)
Unique sites:
Zn 0.000 0.000 0.000
Zn 0.121 0.250 0.743
Rh 0.000 0.500 0.000
Rh 0.247 0.000 0.494

## Properties
DOS(E_F) = 5.61 states/eV/cell
calculated formation energy = -0.360 eV/atom
total magnetization = 0.00 μB per formula unit
crystal system = monoclinic

---

Entry 2:
Compound: Tb6Pr3Dy2Y
Source: the Alexandria database
Functional: PBE
Structure: relaxed

Cell lengths 6.239, 10.804, 11.914 Å; angles 90.00, 100.03, 90.00 degrees
Space group C2/m (No. 12)
Unique sites:
Tb 0.248 0.000 0.246
Tb 0.249 0.333 0.246
Pr 0.000 0.000 0.500
Pr 0.000 0.333 0.500
Dy 0.000 0.167 0.000
Y 0.000 0.500 0.000

## Properties
DOS(E_F) = 32.46 states/eV/cell
calculated formation energy = 0.018 eV/atom
total magnetization = 0.00 μB per formula unit
crystal system = monoclinic

---

Entry 3:
Compound: BaInTcOs2
Source: the Alexandria database
Functional: PBE
Structure: relaxed

Cell lengths 4.971, 4.971, 5.596 Å; angles 90.00, 90.00, 90.00 degrees
Space group P4/mmm (No. 123)
Unique sites:
Ba 0.000 0.000 0.000
In 0.000 0.000 0.500
Tc 0.500 0.500 0.500
Os 0.000 0.500 0.000

## Properties
DOS(E_F) = 9.28 states/eV/cell
calculated formation energy = 3.542 eV/atom
total magnetization = 0.94 μB per formula unit
crystal system = tetragonal

---

Entry 4:
Compound: LaTaTl2
Source: the Alexandria database
Functional: PBE
Structure: relaxed

Cell lengths 4.506, 4.506, 10.276 Å; angles 90.00, 90.00, 90.00 degrees
Space group I-4m2 (No. 119)
Unique sites:
La 0.000 0.000 0.000
Ta 0.000 0.500 0.750
Tl 0.000 0.000 0.500
Tl 0.000 0.500 0.250

## Properties
DOS(E_F) = 6.76 states/eV/cell
calculated formation energy = 0.406 eV/atom
total magnetization = 0.00 μB per formula unit
crystal system = tetragonal